Arrangement 1

YHfZr2N | PBE | optimized geometry

a = 4.559 Å, b = 4.559 Å, c = 4.851 Å
α = 90.00°, β = 90.00°, γ = 90.00°
Sites, in units of the cell vectors:
Y 0.000 0.000 0.000
Hf 0.500 0.500 0.000
Zr 0.000 0.500 0.500
Zr 0.500 0.000 0.500
N 0.000 0.000 0.500

- M_tot: 0.0000 μB per atom

Arrangement 2

YHfZr2N | PBE | optimized geometry

a = 4.724 Å, b = 4.724 Å, c = 4.469 Å
α = 90.00°, β = 90.00°, γ = 90.00°
Sites, in units of the cell vectors:
Y 0.000 0.000 0.000
Hf 0.500 0.500 0.000
Zr 0.000 0.500 0.500
Zr 0.500 0.000 0.500
N 0.500 0.500 0.500

- M_tot: 0.0000 μB per atom

Most favorable first, least favorable last: arrangement 2, arrangement 1